Entry from Alexandria: crystalline ScZn2Hg at its relaxed geometry (PBE).

Geometry as extended XYZ:
```
4
Lattice="3.168 0.000 0.000 0.000 4.304 0.000 -1.567 0.000 5.499" Properties=species:S:1:pos:R:3 pbc="T T T"
Sc 0.000 0.000 0.000
Zn 1.584 2.152 1.175
Zn 1.583 0.000 2.523
Hg 0.013 2.152 3.809
```

Properties
- DFT formation energy: -0.183 eV per atom
- Volume: 75 Å³/cell

Entry from Alexandria: crystalline Ac2Pr4Hg3O2 at its relaxed geometry (PBE).

Geometry as extended XYZ:
```
11
Lattice="-2.528 2.528 12.346 2.528 -2.528 12.346 2.528 2.528 -12.346" Properties=species:S:1:pos:R:3 pbc="T T T"
Ac 0.000 0.000 4.954
Ac 0.000 0.000 19.739
Pr 2.528 0.000 2.032
Pr 2.528 0.000 10.314
Pr 0.000 2.528 2.032
Pr 0.000 2.528 10.314
Hg 0.000 0.000 8.240
Hg 0.000 0.000 12.346
Hg 0.000 0.000 16.452
O 0.000 0.000 2.509
O 0.000 0.000 22.183
```

Properties
- Raw total energy: -51.65 eV for the cell shown
- Volume: 315 Å³/cell

Entry from Alexandria: crystalline NiMoAs2 at its relaxed geometry (PBE).

Geometry as extended XYZ:
```
4
Lattice="-1.658 1.709 5.497 1.658 -1.709 5.497 1.658 1.709 -5.497" Properties=species:S:1:pos:R:3 pbc="T T T"
Ni 0.000 0.000 0.000
Mo 0.000 1.709 2.618
As 1.658 0.000 3.637
As 0.000 0.000 6.204
```

Properties
- DFT formation energy: -0.053 eV per atom
- Volume: 62 Å³/cell

Entry from Alexandria: crystalline TaCrSb2 at its relaxed geometry (PBE).

Geometry as extended XYZ:
```
4
Lattice="4.751 0.000 0.000 0.000 4.751 0.000 0.000 0.000 3.435" Properties=species:S:1:pos:R:3 pbc="T T T"
Ta 0.000 0.000 0.000
Cr 2.376 2.376 0.000
Sb 0.000 2.376 1.717
Sb 2.376 0.000 1.717
```

Properties
- Excess energy over the best structure of this formula in the dataset: 0.217 eV/atom
- Volume: 78 Å³/cell

Entry from Alexandria: crystalline Er5Tl4Pd at its relaxed geometry (PBE).

Geometry as extended XYZ:
```
10
Lattice="3.547 0.000 0.000 0.000 3.547 0.000 0.000 0.000 20.305" Properties=species:S:1:pos:R:3 pbc="T T T"
Er 0.000 0.000 0.000
Er 0.000 0.000 4.237
Er 0.000 0.000 8.466
Er 0.000 0.000 11.839
Er 0.000 0.000 16.068
Tl 1.774 1.774 2.112
Tl 1.774 1.774 6.325
Tl 1.774 1.774 13.980
Tl 1.774 1.774 18.193
Pd 1.774 1.774 10.153
```

Properties
- DFT formation energy: -0.451 eV per atom
- Volume: 256 Å³/cell

Entry from Alexandria: crystalline CsAg4Sn3I12 at its relaxed geometry (PBE).

Geometry as extended XYZ:
```
20
Lattice="8.416 4.859 3.861 -8.416 4.859 3.861 0.000 -9.718 3.861" Properties=species:S:1:pos:R:3 pbc="T T T"
Cs 0.000 0.000 0.000
Ag -3.505 -6.071 5.791
Ag 0.000 0.000 5.791
Ag -3.505 6.071 5.791
Ag 7.010 0.000 5.791
Sn -4.789 -1.424 3.861
Sn 3.628 -3.435 3.861
Sn 1.161 4.859 3.861
I -5.231 -3.976 5.557
I -6.975 0.000 5.791
I -0.828 -6.518 6.025
I -2.745 0.000 5.791
I -5.231 3.976 6.025
I 3.488 -6.041 5.791
I 1.373 -2.377 5.791
I -0.828 6.518 5.557
I 1.373 2.377 5.791
I 6.059 -2.542 5.557
I 3.488 6.041 5.791
I 6.059 2.542 6.025
```

Properties
- Raw total energy: -51.42 eV for the cell shown
- Volume: 947 Å³/cell